[1]
A plane-wave DFT calculation with SCAN was carried out for a PBEsol-optimized structure of IrPt2Au.

Geometry as POSCAR:
```
IrPt2Au
1.0
2.772 0.000 0.000
-1.386 4.591 -0.003
0.000 -0.851 4.776
Pt Ir Au
2 1 1
direct
0.997 0.993 0.992 Pt
0.747 0.495 0.248 Pt
0.254 0.508 0.762 Ir
0.502 0.005 0.498 Au
```

Summary:
Distance to the lowest polymorph of the same formula = 0.100 eV/atom
Symmetry = Cm, No. 8
D(E_F) = 1.20 states/eV/atom



[2]
A plane-wave DFT calculation with SCAN was carried out for a PBEsol-optimized structure of IrPt2Au.

Geometry as POSCAR:
```
IrPt2Au
1.0
-1.095 -0.678 2.458
2.538 -0.540 0.982
0.681 7.522 2.379
Ir Pt Au
1 2 1
direct
0.500 0.500 0.500 Ir
0.000 0.000 0.265 Pt
0.000 0.000 0.735 Pt
0.500 0.500 0.000 Au
```

Summary:
Distance to the lowest polymorph of the same formula = 0.003 eV/atom
Symmetry = P4/mmm, No. 123
D(E_F) = 0.93 states/eV/atom



| no. | calculated formation energy (meV per atom) |
| --- | --- |
| 1 | 209 |
| 2 | 112 |